Density functional theory data (PBE-GGA) for a geometry-optimized RbInGaSn2 structure.

Output
The value obtained for the formation energy is -0.14 eV/atom. The calculated density is 5.37 g cm⁻³.

Unit cell a=5.211 b=5.211 c=11.560 alpha=90.00 beta=90.00 gamma=90.00
Space group I-4m2 (No. 119)
Unique sites:
Rb (0.000, 0.000, 0.000) x2
In (0.000, 0.500, 0.250) x2
Ga (0.000, 0.500, 0.750) x2
Sn (0.000, 0.000, 0.373) x4



Density functional theory data (PBE-GGA) for a geometry-optimized DyMgPbAu structure.

Output
The value obtained for the formation energy is -0.51 eV/atom. The calculated density is 10.39 g cm⁻³.

Unit cell a=7.230 b=7.230 c=7.230 alpha=90.00 beta=90.00 gamma=90.00
Space group F-43m (No. 216)
Unique sites:
Dy (0.000, 0.000, 0.000) x4
Mg (0.000, 0.000, 0.500) x4
Pb (0.250, 0.250, 0.750) x4
Au (0.250, 0.250, 0.250) x4



Density functional theory data (PBE-GGA) for a geometry-optimized TmP5O14 structure.

Output
The calculated density is 3.46 g cm⁻³. The value obtained for the total energy is -7.3897 eV/atom.

Unit cell a=13.003 b=12.909 c=12.517 alpha=90.00 beta=91.50 gamma=90.00
Space group C2/c (No. 15)
Unique sites:
Tm (0.000, 0.020, 0.250) x4
Tm (0.000, 0.466, 0.250) x4
P (0.023, 0.352, 0.534) x8
P (0.145, 0.030, 0.001) x8
P (0.148, 0.170, 0.607) x8
P (0.175, 0.247, 0.258) x8
P (0.183, 0.367, 0.890) x8
O (0.025, 0.397, 0.426) x8
O (0.057, 0.409, 0.633) x8
O (0.078, 0.063, 0.090) x8
O (0.084, 0.242, 0.528) x8
O (0.091, 0.128, 0.697) x8
O (0.093, 0.305, 0.944) x8
O (0.110, 0.034, 0.888) x8
O (0.113, 0.154, 0.284) x8
O (0.126, 0.348, 0.231) x8
O (0.153, 0.453, 0.818) x8
O (0.193, 0.086, 0.528) x8
O (0.244, 0.239, 0.640) x8
O (0.246, 0.276, 0.839) x8
O (0.249, 0.403, 0.992) x8



Density functional theory data (PBE-GGA) for a geometry-optimized In2Au structure.

Output
The value obtained for the formation energy is -0.07 eV/atom. The calculated density is 9.91 g cm⁻³.

Unit cell a=3.961 b=13.652 c=5.287 alpha=90.00 beta=90.00 gamma=90.00
Space group Cmcm (No. 63)
Unique sites:
In (0.000, 0.052, 0.250) x4
In (0.000, 0.269, 0.750) x4
Au (0.000, 0.385, 0.250) x4



Density functional theory data (PBE-GGA) for a geometry-optimized MnBe2RhCl structure.

Output
The calculated density is 4.80 g cm⁻³. The value obtained for the total energy is -4.1979 eV/atom.

Unit cell a=4.011 b=4.011 c=4.541 alpha=90.00 beta=90.00 gamma=90.00
Space group P4/mmm (No. 123)
Unique sites:
Mn (0.000, 0.000, 0.000) x1
Be (0.000, 0.500, 0.500) x2
Rh (0.500, 0.500, 0.000) x1
Cl (0.500, 0.500, 0.500) x1



Density functional theory data (PBE-GGA) for a geometry-optimized AlFe3H structure.

Output
For the relative energy among the computed polymorphs, the calculation gives 0.116 eV/atom. The calculated density is 6.37 g cm⁻³.

Unit cell a=6.6067 b=6.6067 c=8.0876 alpha=90.00 beta=90.00 gamma=120.00
Space group R-3c (No. 167, hexagonal axes)
Unique sites:
Al (0.0000, 0.0000, 0.0000) x6
Fe (0.0000, 0.2577, 0.2500) x18
H (0.0000, 0.0000, 0.2500) x6



Number 1: volume 313.9 Å³ per cell. Number 2: volume 377.9 Å³ per cell. Number 3: volume 2100.4 Å³ per cell. Number 4: volume 285.9 Å³ per cell. Number 5: volume 73.0 Å³ per cell. Number 6: volume 305.7 Å³ per cell.